(1)
Computed, not measured: a relaxed structure of Tb6SmY2 at the GGA-PBE level of DFT.

Values from the calculation:
energy of formation	0.226	eV per atom
calculated density	7.26	g/cm³
energy above the lowest structure with this stoichiometry	0.28	eV/f.u.

a = 7.428 Å, b = 7.428 Å, c = 6.135 Å
α = 90.00°, β = 90.00°, γ = 120.00°
Sites, in units of the cell vectors:
Tb  0.187  0.375  0.203
Tb  0.187  0.813  0.203
Tb  0.375  0.187  0.797
Tb  0.625  0.813  0.203
Tb  0.813  0.187  0.797
Tb  0.813  0.625  0.797
Sm  0.000  0.000  0.500
Y  0.333  0.667  0.708
Y  0.667  0.333  0.292



(2)
Computed, not measured: a relaxed structure of Tb4SmY3 at the GGA-PBE level of DFT.

Values from the calculation:
energy of formation	0.009	eV per atom
calculated density	6.67	g/cm³
energy above the lowest structure with this stoichiometry	0.00	eV/f.u.

a = 11.348 Å, b = 7.312 Å, c = 6.318 Å
α = 90.00°, β = 90.00°, γ = 90.00°
Sites, in units of the cell vectors:
Tb  0.000  0.124  0.000
Tb  0.000  0.876  0.499
Tb  0.249  0.876  0.830
Tb  0.251  0.124  0.330
Tb  0.500  0.124  0.999
Tb  0.500  0.876  0.500
Tb  0.749  0.124  0.330
Tb  0.751  0.876  0.830
Sm  0.000  0.373  0.496
Sm  0.500  0.627  0.996
Y  0.000  0.626  0.996
Y  0.250  0.374  0.831
Y  0.250  0.626  0.331
Y  0.500  0.374  0.496
Y  0.750  0.374  0.831
Y  0.750  0.626  0.331



(3)
Computed, not measured: a relaxed structure of TbSm6Y6 at the GGA-PBE level of DFT.

Values from the calculation:
energy of formation	0.291	eV per atom
calculated density	5.85	g/cm³

a = 6.774 Å, b = 6.774 Å, c = 11.392 Å
α = 90.00°, β = 90.00°, γ = 120.00°
Sites, in units of the cell vectors:
Tb  0.000  0.000  0.000
Sm  0.000  0.000  0.344
Sm  0.000  0.000  0.656
Sm  0.333  0.667  0.000
Sm  0.333  0.667  0.500
Sm  0.667  0.333  0.000
Sm  0.667  0.333  0.500
Y  0.000  0.500  0.245
Y  0.000  0.500  0.755
Y  0.500  0.000  0.245
Y  0.500  0.000  0.755
Y  0.500  0.500  0.245
Y  0.500  0.500  0.755



(4)
Computed, not measured: a relaxed structure of Tb4Sm3Y2 at the GGA-PBE level of DFT.

Values from the calculation:
energy of formation	0.016	eV per atom
calculated density	7.16	g/cm³
energy above the lowest structure with this stoichiometry	0.00	eV/f.u.

a = 6.213 Å, b = 6.213 Å, c = 14.776 Å
α = 110.47°, β = 110.47°, γ = 33.52°
Sites, in units of the cell vectors:
Tb  0.167  0.167  0.168
Tb  0.277  0.277  0.611
Tb  0.723  0.723  0.389
Tb  0.833  0.833  0.832
Sm  0.389  0.389  0.055
Sm  0.500  0.500  0.500
Sm  0.611  0.611  0.945
Y  0.055  0.055  0.722
Y  0.945  0.945  0.278